PBE Er3TmGa2C2, relaxed; total energy = -5.7233 eV/atom; total moment = 0.476 μB/f.u.; SG = P3m1
1.0
-2.5088 -1.7838 1.7240
2.7906 1.2593 1.7537
-7.5656 13.1496 2.5960
C Er Ga Tm
2 3 2 1
Direct
0.3333 0.6667 0.0005
0.3333 0.6667 0.4999
0.0000 0.0000 0.4123
0.6667 0.3333 0.5872
0.6667 0.3333 0.9134
0.6667 0.3333 0.2492
0.0000 0.0000 0.7501
0.0000 0.0000 0.0873